Record 1
A plane-wave DFT calculation with GGA-PBE was carried out for a relaxed Li3H6Os crystal.

Properties
The space group is C2/m.

abc: 4.762 4.872 4.872
angles: 60.10 60.80 60.80
Each line ends with the local moment (μB).
Fractional positions:
Li1 0.271 0.249 0.249  0.00
Li2 0.729 0.751 0.751  0.00
Li3 0.000 0.000 0.000  0.00
H1 0.335 0.187 0.672  0.00
H2 0.665 0.328 0.813  0.00
H3 0.665 0.813 0.328  0.00
H4 0.335 0.672 0.187  0.00
H5 0.153 0.733 0.733  0.00
H6 0.847 0.267 0.267  0.00
Os1 0.500 0.500 0.500  -0.89

---

Record 2
A plane-wave DFT calculation with GGA-PBE was carried out for a relaxed AgBF5 crystal.

Properties
The energy relative to the elements, uncorrected is -2.12 eV per atom. The space group is C2/c.

abc: 5.452 5.451 7.990
angles: 111.82 111.84 87.45
Each line ends with the local moment (μB).
Fractional positions:
Ag1 0.500 0.000 0.000  -0.18
Ag2 0.500 0.000 0.500  0.18
B1 0.920 0.580 0.250  0.00
B2 0.080 0.420 0.750  0.00
F1 0.800 0.668 0.097  0.00
F2 0.204 0.632 0.322  0.01
F3 0.440 0.060 0.250  0.00
F4 0.832 0.701 0.403  0.00
F5 0.168 0.299 0.597  0.00
F6 0.868 0.296 0.178  -0.01
F7 0.132 0.704 0.822  -0.01
F8 0.560 0.940 0.750  0.00
F9 0.796 0.368 0.678  0.01
F10 0.200 0.332 0.903  0.00

---

Record 3
A plane-wave DFT calculation with GGA-PBE was carried out for a relaxed BaVIr crystal.

Properties
The calculation puts the energy of formation at -0.180 eV per atom. The space group is P4/nmm.

abc: 4.343 4.343 9.085
angles: 90.00 90.00 90.00
Fractional positions:
Ir1 0.500 0.000 0.627
Ir2 0.000 0.500 0.373
Ba1 0.500 0.000 0.193
Ba2 0.000 0.500 0.807
V1 0.500 0.500 0.500
V2 0.000 0.000 0.500

---

no.,DFT total energy (eV/atom),calculated volume (Å³/f.u.)
1,-3.91,81.0
2,-4.82,101.7
3,-6.81,85.7